A | Entry from the Alexandria database: a relaxed structure of CoB2F (GGA+U).

Geometry as CIF:
```
data_CoB2F
_chemical_formula_sum 'Co2 B4 F2'
_symmetry_space_group_name_H-M 'P 1'
_symmetry_Int_Tables_number 1
_symmetry_space_group_name_Hall 'P 1'
_cell_length_a 4.7371
_cell_length_b 4.7371
_cell_length_c 4.8492
_cell_angle_alpha 60.76
_cell_angle_beta 60.76
_cell_angle_gamma 90.00
loop_
_atom_site_label
_atom_site_type_symbol
_atom_site_fract_x
_atom_site_fract_y
_atom_site_fract_z
B1 B 0.3750 0.3624 0.7500
B2 B 0.1124 0.6250 0.2500
B3 B 0.6376 0.1250 0.2500
B4 B 0.8750 0.8876 0.7500
F1 F 0.5000 0.5000 0.0000
F2 F 0.2500 0.7500 0.5000
Co1 Co 0.7500 0.2500 0.5000
Co2 Co 0.0000 0.0000 0.0000
```

Results
M_tot, μB per formula unit: 0.00



B | Entry from the Alexandria database: a relaxed structure of CoB2F (GGA+U).

Geometry as CIF:
```
data_CoB2F
_chemical_formula_sum 'Co1 B2 F1'
_symmetry_space_group_name_H-M 'P 1'
_symmetry_Int_Tables_number 1
_symmetry_space_group_name_Hall 'P 1'
_cell_length_a 3.6530
_cell_length_b 3.6530
_cell_length_c 3.6530
_cell_angle_alpha 60.00
_cell_angle_beta 60.00
_cell_angle_gamma 60.00
loop_
_atom_site_label
_atom_site_type_symbol
_atom_site_fract_x
_atom_site_fract_y
_atom_site_fract_z
B1 B 0.7500 0.7500 0.7500
B2 B 0.2500 0.2500 0.2500
Co1 Co 0.5000 0.5000 0.5000
F1 F 0.0000 0.0000 0.0000
```

Results
M_tot, μB per formula unit: 0.00



Which structure is the most stable? The one labeled A.



A | Entry from the Alexandria database: a relaxed structure of CoBF3 (GGA+U).

Geometry as CIF:
```
data_CoBF3
_chemical_formula_sum 'Co1 B1 F3'
_symmetry_space_group_name_H-M 'P 1'
_symmetry_Int_Tables_number 1
_symmetry_space_group_name_Hall 'P 1'
_cell_length_a 4.0019
_cell_length_b 4.0019
_cell_length_c 4.0019
_cell_angle_alpha 90.00
_cell_angle_beta 90.00
_cell_angle_gamma 90.00
loop_
_atom_site_label
_atom_site_type_symbol
_atom_site_fract_x
_atom_site_fract_y
_atom_site_fract_z
F1 F 0.5000 0.0000 0.0000
F2 F 0.0000 0.5000 0.0000
F3 F 0.0000 0.0000 0.5000
B1 B 0.5000 0.5000 0.5000
Co1 Co 0.0000 0.0000 0.0000
```

Results
M_tot, μB per formula unit: 3.00



B | Entry from the Alexandria database: a relaxed structure of CoBF3 (GGA+U).

Geometry as CIF:
```
data_CoBF3
_chemical_formula_sum 'Co1 B1 F3'
_symmetry_space_group_name_H-M 'P 1'
_symmetry_Int_Tables_number 1
_symmetry_space_group_name_Hall 'P 1'
_cell_length_a 3.7888
_cell_length_b 3.7888
_cell_length_c 3.7888
_cell_angle_alpha 90.00
_cell_angle_beta 90.00
_cell_angle_gamma 90.00
loop_
_atom_site_label
_atom_site_type_symbol
_atom_site_fract_x
_atom_site_fract_y
_atom_site_fract_z
B1 B 0.0000 0.0000 0.0000
Co1 Co 0.5000 0.5000 0.5000
F1 F 0.5000 0.0000 0.0000
F2 F 0.0000 0.0000 0.5000
F3 F 0.0000 0.5000 0.0000
```

Results
M_tot, μB per formula unit: 2.36



Which structure is the most stable? The one labeled A.



A | Entry from the Alexandria database: a relaxed structure of CoBOF2 (GGA+U).

Geometry as CIF:
```
data_CoBOF2
_chemical_formula_sum 'Co1 B1 O1 F2'
_symmetry_space_group_name_H-M 'P 1'
_symmetry_Int_Tables_number 1
_symmetry_space_group_name_Hall 'P 1'
_cell_length_a 4.0491
_cell_length_b 4.0491
_cell_length_c 3.6653
_cell_angle_alpha 90.00
_cell_angle_beta 90.00
_cell_angle_gamma 90.00
loop_
_atom_site_label
_atom_site_type_symbol
_atom_site_fract_x
_atom_site_fract_y
_atom_site_fract_z
F1 F 0.5000 0.0000 0.0000
F2 F 0.0000 0.5000 0.0000
O1 O 0.0000 0.0000 0.5000
B1 B 0.5000 0.5000 0.5000
Co1 Co 0.0000 0.0000 0.0000
```

Results
M_tot, μB per formula unit: 3.96



B | Entry from the Alexandria database: a relaxed structure of CoBOF2 (GGA+U).

Geometry as CIF:
```
data_CoBOF2
_chemical_formula_sum 'Co1 B1 O1 F2'
_symmetry_space_group_name_H-M 'P 1'
_symmetry_Int_Tables_number 1
_symmetry_space_group_name_Hall 'P 1'
_cell_length_a 4.2601
_cell_length_b 4.2601
_cell_length_c 2.6323
_cell_angle_alpha 90.00
_cell_angle_beta 90.00
_cell_angle_gamma 90.00
loop_
_atom_site_label
_atom_site_type_symbol
_atom_site_fract_x
_atom_site_fract_y
_atom_site_fract_z
Co1 Co 0.5000 0.5000 0.5000
F1 F 0.0000 0.5000 0.0000
F2 F 0.5000 0.0000 0.0000
O1 O 0.0000 0.0000 0.5000
B1 B 0.0000 0.0000 0.0000
```

Results
M_tot, μB per formula unit: 2.24



Which structure is the most stable? The one labeled B.